[1]
# PBE-GGA LaCdAs2, optimized geometry
# Spin magnetization ... 0.000 μB per formula unit
# Calculated formation energy ... -0.59 eV/atom
# Crystal system ... monoclinic
# E_tot ... -0.161 Ha/atom
data_LaCdAs2
_cell_length_a 4.238
_cell_length_b 4.295
_cell_length_c 6.048
_cell_angle_alpha 90.00
_cell_angle_beta 100.19
_cell_angle_gamma 90.00
_space_group_name_H-M_alt 'P 1 2/m 1'
_space_group_IT_number 10
loop_
_space_group_symop_operation_xyz
'x,y,z'
'-x,-y,-z'
'-x,y,-z'
'x,-y,z'
loop_
_atom_site_label
_atom_site_type_symbol
_atom_site_fract_x
_atom_site_fract_y
_atom_site_fract_z
La1 La 0.000 0.000 0.000
Cd1 Cd 0.500 0.500 0.500
As1 As 0.000 0.000 0.500
As2 As 0.500 0.500 0.000



[2]
# PBE-GGA La2CdAs, optimized geometry
# Spin magnetization ... 0.010 μB per formula unit
# Calculated formation energy ... -0.84 eV/atom
# ΔE to the lowest computed polymorph ... 0.000 eV per atom
# Crystal system ... trigonal
# E_tot ... -0.172 Ha/atom
data_La2CdAs
_cell_length_a 4.3010
_cell_length_b 4.3010
_cell_length_c 24.2010
_cell_angle_alpha 90.00
_cell_angle_beta 90.00
_cell_angle_gamma 120.00
_space_group_name_H-M_alt 'R -3 m'
_space_group_IT_number 166
_space_group_name_Hall '-R 3 2"'
loop_
_atom_site_label
_atom_site_type_symbol
_atom_site_fract_x
_atom_site_fract_y
_atom_site_fract_z
La1 La 0.0000 0.0000 0.2376
Cd1 Cd 0.0000 0.0000 0.0000
As1 As 0.0000 0.0000 0.5000